No. 1
First-principles (PBE) data for an optimized crystal structure of PrTmS, as listed in Alexandria.

Cell and atoms, written as extended XYZ:
```
6
Lattice="-1.820 2.727 8.090 1.820 -2.727 8.090 1.820 2.727 -8.090" Properties=species:S:1:pos:R:3 pbc="T T T"
Pr 0.000 0.000 2.779
Pr 0.000 0.000 13.401
Tm 1.820 1.405 0.000
Tm 0.000 1.322 8.090
S 0.000 0.000 5.608
S 0.000 0.000 10.573
```

Calculated values
energy above the most stable polymorph in this dataset	0.4794	eV/atom
crystal system	orthorhombic
E_form (uncorrected)	-0.7472	eV/atom
uncorrected energy	-5.207	eV/atom

No. 2
First-principles (PBE) data for an optimized crystal structure of PrTm5S6, as listed in Alexandria.

Cell and atoms, written as extended XYZ:
```
12
Lattice="3.360 -5.840 0.000 3.360 5.840 0.000 -2.247 0.000 6.349" Properties=species:S:1:pos:R:3 pbc="T T T"
Pr 0.000 0.000 0.000
Tm 2.236 3.980 3.174
Tm 3.360 1.929 0.000
Tm 2.236 0.000 3.174
Tm 3.360 -1.929 0.000
Tm 2.236 -3.980 3.174
S 1.166 2.035 1.645
S 0.088 0.000 4.735
S 1.166 -2.035 1.645
S 3.306 2.035 4.704
S 4.384 0.000 1.614
S 3.306 -2.035 4.704
```

Calculated values
crystal system	monoclinic
E_form (uncorrected)	-1.9418	eV/atom
uncorrected energy	-6.267	eV/atom